The following is a PBE calculation of crystalline CdTeAu at its relaxed geometry, from Alexandria.

Calculated values
Symmetry: F-43m, No. 216
ρ, Mg/m³: 9.08
Raw formation energy, eV per atom: 0.051
Relative energy among the computed polymorphs, meV/atom: 223
Crystal system: cubic
D(E_F), states/eV/cell: 1.39

Cell lengths 4.835, 4.835, 4.835 Å; angles 60.00, 60.00, 60.00 degrees
Fractional coordinates of all 3 atoms:
1 Te 0.000 0.000 0.000
2 Au 0.500 0.500 0.500
3 Cd 0.250 0.250 0.250

The following is a PBE calculation of crystalline TbP4N7 at its relaxed geometry, from Alexandria.

Calculated values
Symmetry: Pmn2_1, No. 31
ρ, Mg/m³: 4.78
Raw formation energy, eV per atom: -0.316
Crystal system: orthorhombic
D(E_F), states/eV/cell: 5.03

Cell lengths 4.573, 4.582, 12.639 Å; angles 90.00, 90.00, 90.00 degrees
Each line ends with the local moment (μB).
Fractional coordinates of all 24 atoms:
1 Tb 0.618 0.784 0.500  0.10
2 Tb 0.118 0.216 0.000  0.10
3 P 0.590 0.704 0.888  0.01
4 P 0.065 0.783 0.246  0.16
5 P 0.565 0.217 0.254  0.16
6 P 0.090 0.296 0.612  0.01
7 P 0.090 0.296 0.388  0.01
8 P 0.590 0.704 0.112  0.01
9 P 0.065 0.783 0.754  0.16
10 P 0.565 0.217 0.746  0.16
11 N 0.927 0.814 0.116  0.11
12 N 0.427 0.186 0.384  0.11
13 N 0.544 0.352 0.877  0.10
14 N 0.044 0.648 0.623  0.10
15 N 0.044 0.648 0.377  0.10
16 N 0.544 0.352 0.123  0.10
17 N 0.422 0.876 0.785  0.02
18 N 0.922 0.124 0.715  0.02
19 N 0.922 0.124 0.285  0.02
20 N 0.422 0.876 0.215  0.02
21 N 0.440 0.802 0.000  0.01
22 N 0.940 0.198 0.500  0.01
23 N 0.927 0.814 0.884  0.11
24 N 0.427 0.186 0.616  0.11

The following is a PBE calculation of crystalline Zn2OsPb at its relaxed geometry, from Alexandria.

Calculated values
Symmetry: R-3m, No. 166
ρ, Mg/m³: 11.76
Crystal system: trigonal
Formation enthalpy at 0 K, kJ/mol of formula units: 179
D(E_F), states/eV/cell: 1.74

Cell lengths 9.500, 9.500, 9.500 Å; angles 18.40, 18.40, 18.40 degrees
Fractional coordinates of all 4 atoms:
1 Os 0.250 0.250 0.250
2 Pb 0.750 0.750 0.750
3 Zn 0.987 0.987 0.987
4 Zn 0.513 0.513 0.513

The following is a PBE calculation of crystalline Tm4Te2PSe at its relaxed geometry, from Alexandria.

Calculated values
Symmetry: P2/m, No. 10
ρ, Mg/m³: 8.57
Raw formation energy, eV per atom: -1.490
Crystal system: monoclinic
D(E_F), states/eV/cell: 2.58

Cell lengths 4.088, 7.335, 7.102 Å; angles 71.28, 90.00, 90.00 degrees
Fractional coordinates of all 8 atoms:
1 Tm 0.000 0.712 0.749
2 Tm 0.000 0.288 0.251
3 Tm 0.500 0.708 0.277
4 Tm 0.500 0.292 0.723
5 Te 0.000 0.000 0.000
6 Te 0.500 0.000 0.500
7 P 0.000 0.500 0.500
8 Se 0.500 0.500 0.000

Q: Among the records above, which one has the lowest ρ?
A: TbP4N7